(1)
This record from Alexandria describes a relaxed structure of MnAl2Se. The functional is PBE-GGA.

```
MnAl2Se
1.0
-1.6579 2.2774 4.3242
1.6579 -2.2774 4.3242
1.6579 2.2774 -4.3242
Mn Al Se
1 2 1
direct
0.0000 0.0000 0.0000
0.2524 0.7524 0.5000
0.7476 0.2476 0.5000
0.5000 0.5000 0.0000
```

Computed properties:
The uncorrected formation energy comes out at 0.100 eV/atom. The space group is Immm, No. 71. For the density, the calculation gives 4.777 g/cm3. The calculation puts the final energy at -4.935 eV per atom.

***

(2)
This record from Alexandria describes a relaxed structure of MnRhBr2. The functional is PBE-GGA.

```
MnRhBr2
1.0
4.6910 0.0000 0.0000
0.0000 3.9701 0.0000
-0.1223 0.0000 4.8005
Mn Rh Br
1 1 2
direct
0.0000 0.0000 0.0000
0.5000 0.0000 0.5000
0.2581 0.5000 0.7420
0.7419 0.5000 0.2580
```

Computed properties:
The uncorrected formation energy comes out at 0.282 eV/atom. The space group is P2/m, No. 10. For the density, the calculation gives 5.900 g/cm3. The calculation puts the final energy at -4.684 eV per atom. As for the excess energy over the best structure of this formula in the dataset: 0.425 eV/atom.

***

(3)
This record from Alexandria describes a relaxed structure of LiP3I. The functional is PBE-GGA.

```
LiP3I
1.0
4.5606 0.0000 0.0000
0.0000 4.5606 0.0000
0.0000 0.0000 4.5606
Li P I
1 3 1
direct
0.0000 0.0000 0.0000
0.0000 0.0000 0.5000
0.0000 0.5000 0.0000
0.5000 0.0000 0.0000
0.5000 0.5000 0.5000
```

Computed properties:
The uncorrected formation energy comes out at 0.981 eV/atom. The space group is Pm-3m, No. 221. For the density, the calculation gives 3.970 g/cm3. The calculation puts the final energy at -2.957 eV per atom. As for the excess energy over the best structure of this formula in the dataset: 0.000 eV/atom.

***

(4)
This record from Alexandria describes a relaxed structure of Rb2Ho2ZrS6. The functional is PBE-GGA.

```
Rb2Ho2ZrS6
1.0
3.4081 -5.8664 0.0000
3.4081 5.8664 0.0000
-2.3141 0.0000 7.8695
Rb Ho Zr S
2 2 1 6
direct
0.1692 0.8308 0.0000
0.8308 0.1692 0.0000
0.3334 0.6666 0.5000
0.6666 0.3334 0.5000
0.0000 0.0000 0.5000
0.0631 0.3823 0.6855
0.2547 0.2547 0.3154
0.3823 0.0631 0.6855
0.6177 0.9369 0.3145
0.7453 0.7453 0.6846
0.9369 0.6177 0.3145
```

Computed properties:
The uncorrected formation energy comes out at -1.795 eV/atom. The space group is C2/m, No. 12. For the density, the calculation gives 4.139 g/cm3. The calculation puts the final energy at -5.832 eV per atom.

***

(5)
This record from Alexandria describes a relaxed structure of Sc2Be2Pb. The functional is PBE-GGA.

```
Sc2Be2Pb
1.0
6.4983 0.0000 0.0000
0.0000 6.4983 0.0000
0.0000 0.0000 4.0890
Sc Be Pb
4 4 2
direct
0.1662 0.3338 0.0000
0.3338 0.8338 0.0000
0.6662 0.1662 0.0000
0.8338 0.6662 0.0000
0.1152 0.6152 0.5000
0.3848 0.1152 0.5000
0.6152 0.8848 0.5000
0.8848 0.3848 0.5000
0.0000 0.0000 0.5000
0.5000 0.5000 0.5000
```

Computed properties:
The space group is P4/mbm, No. 127. For the density, the calculation gives 6.061 g/cm3. The calculation puts the formation energy at -0.189 eV/atom. The calculation puts the final energy at -4.954 eV per atom.

***

(6)
This record from Alexandria describes a relaxed structure of Pa2In8Ag. The functional is PBE-GGA.

```
Pa2In8Ag
1.0
4.7279 0.0000 0.0000
0.0000 4.7279 0.0000
0.0000 0.0000 12.2556
Pa In Ag
2 8 1
direct
0.0000 0.0000 0.1850
0.0000 0.0000 0.8150
0.0000 0.5000 0.0000
0.0000 0.5000 0.3675
0.0000 0.5000 0.6325
0.5000 0.0000 0.0000
0.5000 0.0000 0.3675
0.5000 0.0000 0.6325
0.5000 0.5000 0.1841
0.5000 0.5000 0.8159
0.0000 0.0000 0.5000
```

Computed properties:
The space group is P4/mmm, No. 123. For the density, the calculation gives 9.023 g/cm3. The calculation puts the formation energy at -0.087 eV/atom. The calculation puts the final energy at -4.065 eV per atom.

***

(7)
This record from Alexandria describes a relaxed structure of ScGeBiSb2. The functional is PBE-GGA.

```
ScGeBiSb2
1.0
5.3910 0.0000 0.0000
0.0000 5.3910 0.0000
0.0000 0.0000 5.1432
Sc Ge Bi Sb
1 1 1 2
direct
0.0000 0.0000 0.0000
0.0000 0.0000 0.5000
0.5000 0.5000 0.0000
0.0000 0.5000 0.5000
0.5000 0.0000 0.5000
```

Computed properties:
The uncorrected formation energy comes out at 0.259 eV/atom. The space group is P4/mmm, No. 123. For the density, the calculation gives 6.333 g/cm3. The calculation puts the final energy at -4.356 eV per atom.

***

(8)
This record from Alexandria describes a relaxed structure of La4CuSiCl2. The functional is PBE-GGA.

```
La4CuSiCl2
1.0
7.2375 0.0000 0.0000
0.0000 4.3061 0.0000
-2.5121 0.0000 7.1057
La Cu Si Cl
4 1 1 2
direct
0.2418 0.0000 0.2437
0.2427 0.5000 0.7499
0.7573 0.5000 0.2501
0.7582 0.0000 0.7563
0.0000 0.0000 0.5000
0.0000 0.5000 0.0000
0.5000 0.0000 0.0000
0.5000 0.5000 0.5000
```

Computed properties:
The uncorrected formation energy comes out at -1.030 eV/atom. The space group is P2/m, No. 10. For the density, the calculation gives 5.385 g/cm3. The calculation puts the final energy at -5.146 eV per atom.

***

(9)
This record from Alexandria describes a relaxed structure of Pr8In2Ag3. The functional is PBE-GGA.

```
Pr8In2Ag3
1.0
7.8333 -4.1560 0.0000
7.8333 4.1560 0.0000
-0.6769 0.0000 6.4870
Pr In Ag
8 2 3
direct
0.0879 0.0879 0.3821
0.0994 0.6791 0.1157
0.3209 0.9006 0.8843
0.3218 0.3218 0.6631
0.6782 0.6782 0.3369
0.6791 0.0994 0.1157
0.9006 0.3209 0.8843
0.9121 0.9121 0.6179
0.2594 0.2594 0.1594
0.7406 0.7406 0.8406
0.3346 0.6654 0.5000
0.5000 0.5000 0.0000
0.6654 0.3346 0.5000
```

Computed properties:
The space group is C2/m, No. 12. For the density, the calculation gives 6.607 g/cm3. The calculation puts the formation energy at -0.069 eV/atom. The calculation puts the final energy at -4.090 eV per atom.

***

(10)
This record from Alexandria describes a relaxed structure of TaIn6F12. The functional is PBE-GGA.

```
TaIn6F12
1.0
6.0781 3.5092 3.3967
-6.0781 3.5092 3.3967
0.0000 -7.0184 3.3967
Ta In F
1 6 12
direct
0.0000 0.0000 0.0000
0.1824 0.5964 0.3251
0.3251 0.1824 0.5964
0.4036 0.6749 0.8176
0.5964 0.3251 0.1824
0.6749 0.8176 0.4036
0.8176 0.4036 0.6749
0.0025 0.2535 0.0719
0.0719 0.0025 0.2535
0.2186 0.4253 0.5323
0.2535 0.0719 0.0025
0.4253 0.5323 0.2186
0.4677 0.7814 0.5747
0.5323 0.2186 0.4253
0.5747 0.4677 0.7814
0.7465 0.9281 0.9975
0.7814 0.5747 0.4677
0.9281 0.9975 0.7465
0.9975 0.7465 0.9281
```

Computed properties:
The uncorrected formation energy comes out at -2.231 eV/atom. The space group is R-3, No. 148. For the density, the calculation gives 4.194 g/cm3. The calculation puts the final energy at -4.902 eV per atom.

***

(11)
This record from Alexandria describes a relaxed structure of Ce5Bi2Pb2. The functional is PBE-GGA.

```
Ce5Bi2Pb2
1.0
8.0567 -4.2597 0.0000
8.0567 4.2597 0.0000
0.0000 0.0000 8.5360
Ce Bi Pb
10 4 4
direct
0.0000 0.0000 0.0000
0.0346 0.6918 0.6697
0.1918 0.5346 0.1697
0.3082 0.9654 0.6697
0.4654 0.8082 0.1697
0.5000 0.5000 0.5000
0.5346 0.1918 0.8303
0.6918 0.0346 0.3303
0.8082 0.4654 0.8303
0.9654 0.3082 0.3303
0.2048 0.2048 0.0000
0.2952 0.2952 0.5000
0.7048 0.7048 0.5000
0.7952 0.7952 0.0000
0.1329 0.8671 0.3663
0.3671 0.6329 0.8663
0.6329 0.3671 0.1337
0.8671 0.1329 0.6337
```

Computed properties:
The space group is Cmce, No. 64. For the density, the calculation gives 8.689 g/cm3. The calculation puts the formation energy at -0.545 eV/atom. The calculation puts the final energy at -5.528 eV per atom. As for the excess energy over the best structure of this formula in the dataset: 0.000 eV/atom.

***

(12)
This record from Alexandria describes a relaxed structure of KLi2CF. The functional is PBE-GGA.

```
KLi2CF
1.0
4.0308 0.0000 0.0000
0.0000 4.0308 0.0000
0.0000 0.0000 6.1967
K Li C F
1 2 1 1
direct
0.0000 0.0000 0.0000
0.0000 0.5000 0.5000
0.5000 0.0000 0.5000
0.0000 0.0000 0.5000
0.5000 0.5000 0.0000
```

Computed properties:
The uncorrected formation energy comes out at -0.210 eV/atom. The space group is P4/mmm, No. 123. For the density, the calculation gives 1.385 g/cm3. The calculation puts the final energy at -3.414 eV per atom.

***

(13)
This record from Alexandria describes a relaxed structure of ScTl3Hg. The functional is PBE-GGA.

```
ScTl3Hg
1.0
5.7387 0.0000 0.0000
0.0000 5.7387 0.0000
0.0000 0.0000 5.7387
Sc Tl Hg
1 3 1
direct
0.0000 0.0000 0.0000
0.0000 0.0000 0.5000
0.0000 0.5000 0.0000
0.5000 0.0000 0.0000
0.5000 0.5000 0.5000
```

Computed properties:
The space group is Pm-3m, No. 221. For the density, the calculation gives 7.545 g/cm3. The calculation puts the formation energy at 0.348 eV/atom. The calculation puts the final energy at -2.399 eV per atom. As for the excess energy over the best structure of this formula in the dataset: 0.000 eV/atom.

***

(14)
This record from Alexandria describes a relaxed structure of Tl8Hg3S8. The functional is PBE-GGA.

```
Tl8Hg3S8
1.0
10.7101 -3.0356 0.0000
10.7101 3.0356 0.0000
-2.4961 0.0000 9.3642
Tl Hg S
8 3 8
direct
0.0505 0.0505 0.2156
0.1988 0.1988 0.7574
0.3205 0.3205 0.5585
0.4119 0.4119 0.0607
0.5881 0.5881 0.9393
0.6795 0.6795 0.4415
0.8012 0.8012 0.2426
0.9495 0.9495 0.7844
0.2234 0.2234 0.1648
0.5000 0.5000 0.5000
0.7766 0.7766 0.8352
0.1247 0.1247 0.9807
0.1790 0.1790 0.4168
0.3386 0.3386 0.2823
0.4612 0.4612 0.7057
0.5388 0.5388 0.2943
0.6614 0.6614 0.7177
0.8210 0.8210 0.5832
0.8753 0.8753 0.0193
```

Computed properties:
The uncorrected formation energy comes out at -0.196 eV/atom. The space group is C2/m, No. 12. For the density, the calculation gives 6.800 g/cm3. The calculation puts the final energy at -2.978 eV per atom.

***

(15)
This record from Alexandria describes a relaxed structure of RbSn2Bi. The functional is PBE-GGA.

```
RbSn2Bi
1.0
4.2976 0.0000 0.0000
0.0000 4.2976 0.0000
0.0000 0.0000 7.9680
Rb Sn Bi
1 2 1
direct
0.0000 0.0000 0.0000
0.5000 0.5000 0.3209
0.5000 0.5000 0.6791
0.0000 0.0000 0.5000
```

Computed properties:
The space group is P4/mmm, No. 123. For the density, the calculation gives 6.001 g/cm3. The calculation puts the formation energy at -0.132 eV/atom. The calculation puts the final energy at -3.346 eV per atom.

***

(16)
This record from Alexandria describes a relaxed structure of Sm2Cu12Ni3Ag. The functional is PBE-GGA.

```
Sm2Cu12Ni3Ag
1.0
4.3008 2.4831 4.0943
-4.3008 2.4831 4.0943
0.0000 -4.9662 4.0943
Sm Cu Ni Ag
2 12 3 1
direct
0.2484 0.2484 0.2484
0.7516 0.7516 0.7516
0.0769 0.0769 0.6496
0.0769 0.6496 0.0769
0.2098 0.7027 0.7027
0.2973 0.2973 0.7902
0.2973 0.7902 0.2973
0.3504 0.9231 0.9231
0.6496 0.0769 0.0769
0.7027 0.2098 0.7027
0.7027 0.7027 0.2098
0.7902 0.2973 0.2973
0.9231 0.3504 0.9231
0.9231 0.9231 0.3504
0.0000 0.5000 0.5000
0.5000 0.0000 0.5000
0.5000 0.5000 0.0000
0.5000 0.5000 0.5000
```

Computed properties:
The space group is R-3m, No. 166. For the density, the calculation gives 8.527 g/cm3. The calculation puts the formation energy at 0.084 eV/atom. The calculation puts the final energy at -4.293 eV per atom.

***

(17)
This record from Alexandria describes a relaxed structure of LaSm3Ag. The functional is PBE-GGA.

```
LaSm3Ag
1.0
5.9891 -4.2646 0.0000
5.9891 4.2646 0.0000
-4.5811 0.0000 6.6749
La Sm Ag
2 6 2
direct
0.0499 0.0499 0.3013
0.9501 0.9501 0.6987
0.1176 0.5222 0.2972
0.4193 0.4193 0.7303
0.4778 0.8824 0.7028
0.5222 0.1176 0.2972
0.5807 0.5807 0.2697
0.8824 0.4778 0.7028
0.2715 0.2715 0.9411
0.7285 0.7285 0.0589
```

Computed properties:
The space group is C2/m, No. 12. For the density, the calculation gives 6.797 g/cm3. The calculation puts the formation energy at 0.040 eV/atom. The calculation puts the final energy at -4.348 eV per atom.

***

(18)
This record from Alexandria describes a relaxed structure of KCrPb. The functional is PBE-GGA.

```
KCrPb
1.0
0.0000 3.6321 3.6321
3.6321 0.0000 3.6321
3.6321 3.6321 0.0000
K Cr Pb
1 1 1
direct
0.0000 0.0000 0.0000
0.7500 0.7500 0.7500
0.5000 0.5000 0.5000
```

Computed properties:
The space group is F-43m, No. 216. For the density, the calculation gives 5.169 g/cm3. The calculation puts the formation energy at 0.731 eV/atom. The calculation puts the final energy at -4.079 eV per atom. As for the excess energy over the best structure of this formula in the dataset: 0.277 eV/atom.

***

(19)
This record from Alexandria describes a relaxed structure of Zr2ScHgN. The functional is PBE-GGA.

```
Zr2ScHgN
1.0
4.5061 0.0000 0.0000
0.0000 4.5061 0.0000
0.0000 0.0000 4.4597
Zr Sc Hg N
2 1 1 1
direct
0.0000 0.5000 0.0000
0.5000 0.0000 0.0000
0.0000 0.0000 0.5000
0.5000 0.5000 0.5000
0.0000 0.0000 0.0000
```

Computed properties:
The uncorrected formation energy comes out at -0.919 eV/atom. The space group is P4/mmm, No. 123. For the density, the calculation gives 8.105 g/cm3. The calculation puts the final energy at -7.330 eV per atom.

***

(20)
This record from Alexandria describes a relaxed structure of MnTl2Rh. The functional is PBE-GGA.

```
MnTl2Rh
1.0
6.2298 -1.5611 0.0000
6.2298 1.5611 0.0000
-1.7164 0.0000 4.3039
Mn Tl Rh
1 2 1
direct
0.0000 0.0000 0.0000
0.5933 0.5933 0.5932
0.8070 0.8070 0.3070
0.3205 0.3205 0.8205
```

Computed properties:
The space group is Cm, No. 8. For the density, the calculation gives 11.239 g/cm3. The calculation puts the formation energy at 0.228 eV/atom. The calculation puts the final energy at -5.085 eV per atom. As for the excess energy over the best structure of this formula in the dataset: 0.055 eV/atom.